<A>
# V2Ga4Pt

V2Ga4Pt after structural relaxation (PBE, the Alexandria database). Values from VASP.

```
&SYSTEM
  ibrav = 0, nat = 7, ntyp = 3
/
ATOMIC_SPECIES
Ga 69.72 Ga.upf
V 50.94 V.upf
Pt 195.08 Pt.upf
CELL_PARAMETERS angstrom
-4.5915 -1.5292 0.2176
1.5065 -4.2829 1.6897
-1.9799 -0.7656 6.7693
ATOMIC_POSITIONS crystal
Ga 0.7954 0.7954 0.4092
Ga 0.0000 0.5000 0.0000
Ga 0.2046 0.2046 0.5908
V 0.5839 0.5839 0.8321
V 0.4161 0.4161 0.1679
Pt 0.0000 0.0000 0.0000
Ga 0.5000 0.0000 0.0000
```

***

<B>
# V2Ga4Pt

V2Ga4Pt after structural relaxation (PBE, the Alexandria database). Values from VASP.

```
&SYSTEM
  ibrav = 0, nat = 14, ntyp = 3
/
ATOMIC_SPECIES
V 50.94 V.upf
Ga 69.72 Ga.upf
Pt 195.08 Pt.upf
CELL_PARAMETERS angstrom
6.3954 0.1910 1.8128
-0.4821 6.7876 -0.9868
-1.3981 -4.1876 5.0641
ATOMIC_POSITIONS crystal
V 0.2529 0.5434 0.8925
V 0.7140 0.2726 0.2476
Ga 0.2706 0.9620 0.5044
Ga 0.3154 0.1774 0.2869
Ga 0.8804 0.7853 0.9084
Ga 0.7111 0.9892 0.6766
Pt 0.0699 0.1630 0.9397
Ga 0.8946 0.5956 0.1634
Pt 0.1022 0.5963 0.5193
Ga 0.4403 0.4411 0.1408
V 0.5935 0.8891 0.2247
Ga 0.9451 0.2068 0.5155
Ga 0.4763 0.7481 0.7495
V 0.5837 0.3801 0.7307
```

***

So which one is most stable? That would be <B>, about 512 meV per atom below the next structure.

***

<A>
# V3GaPt

V3GaPt after structural relaxation (PBE, the Alexandria database). Values from VASP.

```
&SYSTEM
  ibrav = 0, nat = 5, ntyp = 3
/
ATOMIC_SPECIES
Ga 69.72 Ga.upf
V 50.94 V.upf
Pt 195.08 Pt.upf
CELL_PARAMETERS angstrom
-1.6160 -3.3536 2.7697
0.6006 -3.0985 -3.4012
4.3078 -0.8261 1.5132
ATOMIC_POSITIONS crystal
Ga 0.5000 0.5000 0.5000
V 0.5000 0.0000 0.0000
Pt 0.0000 0.0000 0.0000
V 0.0000 0.0000 0.5000
V 0.0000 0.5000 0.0000
```

***

<B>
# V3GaPt

V3GaPt after structural relaxation (PBE, the Alexandria database). Values from VASP.

```
&SYSTEM
  ibrav = 0, nat = 5, ntyp = 3
/
ATOMIC_SPECIES
V 50.94 V.upf
Pt 195.08 Pt.upf
Ga 69.72 Ga.upf
CELL_PARAMETERS angstrom
-0.3160 -2.7904 3.4094
1.4280 -3.2985 -2.5673
4.1679 0.9186 1.1381
ATOMIC_POSITIONS crystal
V 0.0000 0.5000 0.0000
Pt 0.5000 0.5000 0.5000
V 0.0000 0.0000 0.5000
V 0.5000 0.0000 0.0000
Ga 0.0000 0.0000 0.0000
```

***

So which one is most stable? That would be <A>, about 49 meV per atom below the next structure.

***

<A>
# VGa2Pt2

VGa2Pt2 after structural relaxation (PBE, the Alexandria database). Values from VASP.

```
&SYSTEM
  ibrav = 0, nat = 10, ntyp = 3
/
ATOMIC_SPECIES
Ga 69.72 Ga.upf
Pt 195.08 Pt.upf
V 50.94 V.upf
CELL_PARAMETERS angstrom
7.4713 0.0000 0.0000
0.0000 7.4713 0.0000
0.0000 0.0000 2.7794
ATOMIC_POSITIONS crystal
Ga 0.8645 0.6355 0.0000
Ga 0.1355 0.3645 0.0000
Pt 0.6641 0.8359 0.5000
V 0.5000 0.5000 0.0000
Pt 0.3359 0.1641 0.5000
Ga 0.6355 0.1355 0.0000
Ga 0.3645 0.8645 0.0000
V 0.0000 0.0000 0.0000
Pt 0.1641 0.6641 0.5000
Pt 0.8359 0.3359 0.5000
```

***

<B>
# VGa2Pt2

VGa2Pt2 after structural relaxation (PBE, the Alexandria database). Values from VASP.

```
&SYSTEM
  ibrav = 0, nat = 10, ntyp = 3
/
ATOMIC_SPECIES
Pt 195.08 Pt.upf
Ga 69.72 Ga.upf
V 50.94 V.upf
CELL_PARAMETERS angstrom
7.4944 0.0000 0.0000
0.0000 7.4944 0.0000
0.0000 0.0000 2.8166
ATOMIC_POSITIONS crystal
Pt 0.3595 0.8595 0.0000
Ga 0.6591 0.8409 0.5000
Pt 0.8595 0.6405 0.0000
Ga 0.8409 0.3409 0.5000
Pt 0.6405 0.1405 0.0000
V 0.0000 0.0000 0.0000
V 0.5000 0.5000 0.0000
Pt 0.1405 0.3595 0.0000
Ga 0.1591 0.6591 0.5000
Ga 0.3409 0.1591 0.5000
```

***

So which one is most stable? That would be <A>, about 38 meV per atom below the next structure.